# 1
Compound: HoCdGaPt
Source: Alexandria via LeMat-Bulk
Functional: PBE-GGA
Structure: relaxed

Output
DFT formation energy = -0.63 eV/atom
Calculated total energy = -17.092 eV/f.u.
Calculated density = 11.38 g/cm3

a = 6.814 Å, b = 6.814 Å, c = 6.814 Å
α = 90.00°, β = 90.00°, γ = 90.00°
Space group F-43m (No. 216)
One atom of each set of equivalent atoms:
1 Ho 0.000 0.000 0.000 [4 per cell]
2 Cd 0.000 0.000 0.500 [4 per cell]
3 Ga 0.250 0.250 0.250 [4 per cell]
4 Pt 0.250 0.250 0.750 [4 per cell]



# 2
Compound: K2NdTlSe4
Source: Alexandria via LeMat-Bulk
Functional: PBE-GGA
Structure: relaxed

Output
Calculated total energy = -32.170 eV/f.u.
Raw formation energy = -8.9 eV/f.u.
Calculated density = 5.01 g/cm3

a = 12.395 Å, b = 12.734 Å, c = 8.744 Å
α = 90.00°, β = 134.47°, γ = 90.00°
Space group C2/c (No. 15)
One atom of each set of equivalent atoms:
1 K 0.000 0.000 0.000 [4 per cell]
2 K 0.250 0.250 0.000 [4 per cell]
3 Nd 0.250 0.250 0.500 [4 per cell]
4 Tl 0.000 0.500 0.000 [4 per cell]
5 Se 0.001 0.256 0.024 [8 per cell]
6 Se 0.217 0.489 0.471 [8 per cell]



# 3
Compound: In2AuSe
Source: Alexandria via LeMat-Bulk
Functional: PBE-GGA
Structure: relaxed

Output
Calculated total energy = -11.960 eV/f.u.
Raw formation energy = 0.3 eV/f.u.
Calculated density = 8.75 g/cm3

a = 7.266 Å, b = 7.266 Å, c = 7.266 Å
α = 90.00°, β = 90.00°, γ = 90.00°
Space group F-43m (No. 216)
One atom of each set of equivalent atoms:
1 In 0.000 0.000 0.000 [4 per cell]
2 In 0.250 0.250 0.250 [4 per cell]
3 Au 0.000 0.000 0.500 [4 per cell]
4 Se 0.250 0.250 0.750 [4 per cell]